Model w:
# PaSeCl | Alexandria | PBE | relaxed
# - ρ: 7.18 Mg/m³
# - Calculated volume: 319.35 Å³ per cell
# - DOS(E_F): 30.91 states/eV per cell
data_PaSeCl
_chemical_formula_sum 'Pa4 Se4 Cl4'
_cell_length_a 6.835
_cell_length_b 6.835
_cell_length_c 6.835
_cell_angle_alpha 90.00
_cell_angle_beta 90.00
_cell_angle_gamma 90.00
_space_group_name_H-M_alt 'F -4 3 m'
_space_group_IT_number 216
_space_group_name_Hall 'F -4 2 3'
loop_
_atom_site_label
_atom_site_type_symbol
_atom_site_fract_x
_atom_site_fract_y
_atom_site_fract_z
_atom_site_occupancy
Pa1 Pa 0.000 0.000 0.000 1
Se1 Se 0.250 0.250 0.250 1
Cl1 Cl 0.250 0.250 0.750 1

=====

Model x:
# PaSeCl | Alexandria | PBE | relaxed
# - ρ: 5.92 Mg/m³
# - Calculated volume: 193.86 Å³ per cell
# - DOS(E_F): 8.64 states/eV per cell
data_PaSeCl
_chemical_formula_sum 'Pa2 Se2 Cl2'
_cell_length_a 6.766
_cell_length_b 3.909
_cell_length_c 7.967
_cell_angle_alpha 90.00
_cell_angle_beta 113.08
_cell_angle_gamma 90.00
_space_group_name_H-M_alt 'C 1 m 1'
_space_group_IT_number 8
loop_
_space_group_symop_operation_xyz
'x,y,z'
'x,-y,z'
'x+1/2,y+1/2,z'
'x+1/2,-y+1/2,z'
loop_
_atom_site_label
_atom_site_type_symbol
_atom_site_fract_x
_atom_site_fract_y
_atom_site_fract_z
_atom_site_occupancy
Pa1 Pa 0.000 0.000 0.000 1
Se1 Se 0.225 0.000 0.765 1
Cl1 Cl 0.448 0.000 0.247 1

=====

Model y:
# PaSeCl | Alexandria | PBE | relaxed
# - ρ: 8.14 Mg/m³
# - Calculated volume: 70.44 Å³ per cell
# - DOS(E_F): 5.69 states/eV per cell
data_PaSeCl
_chemical_formula_sum 'Pa1 Se1 Cl1'
_cell_length_a 4.7087
_cell_length_b 4.7087
_cell_length_c 3.6682
_cell_angle_alpha 90.00
_cell_angle_beta 90.00
_cell_angle_gamma 120.00
_space_group_name_H-M_alt 'P 3 m 1'
_space_group_IT_number 156
loop_
_space_group_symop_operation_xyz
'x,y,z'
'-y,x-y,z'
'-x+y,-x,z'
'-y,-x,z'
'-x+y,y,z'
'x,x-y,z'
loop_
_atom_site_label
_atom_site_type_symbol
_atom_site_fract_x
_atom_site_fract_y
_atom_site_fract_z
_atom_site_occupancy
Pa1 Pa 0.0000 0.0000 0.0000 1
Se1 Se 0.6667 0.3333 0.5023 1
Cl1 Cl 0.3333 0.6667 0.0045 1

=====

In terms of stability, model x leads; the second structure lies 0.094 eV/atom higher.

=====

Model w:
# PaSeCl | Alexandria | PBE | relaxed
# - ρ: 6.75 Mg/m³
# - Calculated volume: 340.17 Å³ per cell
# - DOS(E_F): 10.69 states/eV per cell
data_PaSeCl
_chemical_formula_sum 'Pa4 Se4 Cl4'
_cell_length_a 4.963
_cell_length_b 13.800
_cell_length_c 4.967
_cell_angle_alpha 90.00
_cell_angle_beta 90.00
_cell_angle_gamma 90.00
_space_group_name_H-M_alt 'C m c m'
_space_group_IT_number 63
_space_group_name_Hall '-C 2c 2'
loop_
_atom_site_label
_atom_site_type_symbol
_atom_site_fract_x
_atom_site_fract_y
_atom_site_fract_z
_atom_site_occupancy
Pa1 Pa 0.000 0.250 0.250 1
Se1 Se 0.000 0.133 0.750 1
Cl1 Cl 0.000 0.368 0.750 1

=====

Model x:
# PaSeCl | Alexandria | PBE | relaxed
# - ρ: 6.82 Mg/m³
# - Calculated volume: 168.27 Å³ per cell
# - DOS(E_F): 6.52 states/eV per cell
data_PaSeCl
_chemical_formula_sum 'Pa2 Se2 Cl2'
_cell_length_a 3.521
_cell_length_b 3.521
_cell_length_c 13.569
_cell_angle_alpha 90.00
_cell_angle_beta 90.00
_cell_angle_gamma 90.00
_space_group_name_H-M_alt 'I 4 m m'
_space_group_IT_number 107
_space_group_name_Hall 'I 4 -2'
loop_
_atom_site_label
_atom_site_type_symbol
_atom_site_fract_x
_atom_site_fract_y
_atom_site_fract_z
_atom_site_occupancy
Pa1 Pa 0.000 0.000 0.000 1
Se1 Se 0.000 0.000 0.386 1
Cl1 Cl 0.000 0.000 0.626 1

=====

In terms of stability, model w leads; the second structure lies 0.014 eV/atom higher.